# TiMoW2

An optimized crystal structure of TiMoW2 (PBEsol, Alexandria).

The space group is Fm-3m (No. 225) and the conventional cell measures 6.263, 6.263 and 6.263 Å, with angles of 90.00, 90.00 and 90.00 degrees. Symmetry generates all atoms from Ti at (0.000, 0.000, 0.000), Mo at (0.000, 0.000, 0.500) and W at (0.250, 0.250, 0.250).

The total magnetization comes out at 0.00 Bohr magnetons per cell. The energy of formation from the pure elements is -55 meV per atom.